Here is a relaxed Sr2Hf2F crystal from Alexandria via LeMat-Bulk. Energies are from PBE-GGA.

Properties
Formation energy from raw total energies (eV/f.u.): 1.97
Excess energy over the best structure of this formula in the dataset (meV/atom): 0.0
Magnetization (μB/f.u.): 0.0

a b c (Å): 9.7913 9.7913 3.6304
angles (deg): 90.00 90.00 90.00
Atoms (fractional coordinates):
1 F 0.5000 0.5000 0.0000
2 Hf 0.9097 0.5903 0.0000
3 Hf 0.5903 0.0903 0.0000
4 Sr 0.1996 0.6996 0.5000
5 F 0.0000 0.0000 0.0000
6 Hf 0.0903 0.4097 0.0000
7 Sr 0.8004 0.3004 0.5000
8 Sr 0.3004 0.1996 0.5000
9 Hf 0.4097 0.9097 0.0000
10 Sr 0.6996 0.8004 0.5000